The following is a DFT calculation (PBE) of crystalline K2NaSiTe4 at its relaxed geometry.

Values from the calculation:
uncorrected formation energy	-463	meV/atom
space-group type	Imma
calculated total energy	-50.42	eV/cell
N(E_F)	3.34	states/eV/cell

Unit cell a=9.341 b=9.341 c=9.341 alpha=133.59 beta=108.73 gamma=89.39
Atoms (fractional coordinates):
K1 0.000 0.000 0.000
K2 0.500 0.000 0.000
K3 0.500 0.000 0.500
K4 0.500 0.500 0.500
Na1 0.000 0.500 0.500
Na2 0.500 0.500 0.000
Si1 0.000 0.000 0.500
Si2 0.000 0.500 0.000
Te1 0.183 0.748 0.435
Te2 0.187 0.252 0.935
Te3 0.234 0.274 0.540
Te4 0.234 0.695 0.960
Te5 0.766 0.305 0.040
Te6 0.766 0.726 0.460
Te7 0.813 0.748 0.065
Te8 0.817 0.252 0.565